Crystalline NaTc2Br at its relaxed geometry. Source: the Alexandria database, functional PBE.

## Properties
The energy above the most stable polymorph in this dataset comes out at 0.000 eV/atom. The value obtained for the density of states at the Fermi level is 10.23 states/eV per cell. The raw formation energy comes out at 4.81 eV per formula unit. Its uncorrected energy is -4.729 eV per atom.

Geometry as extended XYZ:
```
8
Lattice="-4.014 4.014 2.413 4.014 -4.014 2.413 4.014 4.014 -2.413" Properties=species:S:1:pos:R:3 pbc="T T T"
Na 0.000 0.000 0.000
Na 0.000 4.014 1.206
Tc 2.007 -1.508 1.810
Tc 2.507 2.007 0.603
Tc 2.007 5.522 -0.603
Tc 1.508 2.007 3.016
Br 4.014 0.000 1.206
Br 0.000 0.000 2.413
```